Entry 1:
! La4AlAg2 GGA-PBE optimized geometry; values from VASP
! **E_form**: -0.162 eV per atom
! **Space-group type**: No. 166
! **Density of states at the Fermi level**: 8.887 states/eV/cell
&SYSTEM
  ibrav = 0, nat = 7, ntyp = 3
/
ATOMIC_SPECIES
La 138.91 La.upf
Ag 107.87 Ag.upf
Al 26.98 Al.upf
CELL_PARAMETERS angstrom
5.1094 0.0000 1.5963
2.3054 4.5598 1.5963
-0.0343 -0.0211 9.0850
ATOMIC_POSITIONS crystal
La 0.8719 0.8719 0.3844
La 0.1281 0.1281 0.6156
La 0.3826 0.3826 0.8522
Ag 0.7422 0.7422 0.7735
Ag 0.2578 0.2578 0.2265
La 0.6174 0.6174 0.1478
Al 0.0000 0.0000 0.0000

Entry 2:
! LaAl3Ag10 GGA-PBE optimized geometry; values from VASP
! **E_form**: 0.020 eV per atom
! **Space-group type**: No. 225
! **Density of states at the Fermi level**: 10.165 states/eV/cell
&SYSTEM
  ibrav = 0, nat = 28, ntyp = 3
/
ATOMIC_SPECIES
Ag 107.87 Ag.upf
Al 26.98 Al.upf
La 138.91 La.upf
CELL_PARAMETERS angstrom
-5.9063 3.8177 6.0953
1.1338 -1.4642 9.1204
2.8406 6.9417 5.5096
ATOMIC_POSITIONS crystal
Ag 0.3861 0.3861 0.8418
Ag 0.3465 0.6535 0.0000
Ag 0.6535 0.0000 0.3465
Ag 0.3465 0.0000 0.6535
Ag 0.8418 0.3861 0.3861
Al 0.2610 0.7390 0.7390
Al 0.7390 0.2610 0.2610
Al 0.7390 0.7390 0.2610
La 0.2500 0.2500 0.2500
Ag 0.0000 0.3465 0.0000
Ag 0.0000 0.6535 0.3465
Ag 0.0000 0.3465 0.6535
Ag 0.6139 0.1582 0.6139
Ag 0.1582 0.6139 0.6139
Ag 0.0000 0.0000 0.3465
Ag 0.6535 0.0000 0.0000
Ag 0.0000 0.0000 0.6535
Ag 0.3861 0.8418 0.3861
Al 0.2610 0.2610 0.7390
Ag 0.3465 0.0000 0.0000
Al 0.7390 0.2610 0.7390
Ag 0.0000 0.6535 0.0000
Ag 0.6535 0.3465 0.0000
La 0.7500 0.7500 0.7500
Ag 0.3861 0.3861 0.3861
Ag 0.6139 0.6139 0.1582
Al 0.2610 0.7390 0.2610
Ag 0.6139 0.6139 0.6139

Entry 3:
! LaAl6Ag12 GGA-PBE optimized geometry; values from VASP
! **E_form**: -0.049 eV per atom
! **Space-group type**: No. 166
! **Density of states at the Fermi level**: 2.827 states/eV/cell
&SYSTEM
  ibrav = 0, nat = 19, ntyp = 3
/
ATOMIC_SPECIES
Ag 107.87 Ag.upf
La 138.91 La.upf
Al 26.98 Al.upf
CELL_PARAMETERS angstrom
7.4724 -0.0269 -0.0379
-1.8784 7.2325 -0.0379
-1.8784 -2.4195 6.8159
ATOMIC_POSITIONS crystal
Ag 0.8828 0.1172 0.5000
La 0.0000 0.0000 0.0000
Ag 0.3983 0.1464 0.3983
Ag 0.8828 0.5000 0.1172
Ag 0.8536 0.6017 0.6017
Al 0.7024 0.2710 0.2710
Ag 0.1172 0.5000 0.8828
Ag 0.5000 0.1172 0.8828
Al 0.2710 0.2710 0.7024
Ag 0.6017 0.6017 0.8536
Ag 0.6017 0.8536 0.6017
Al 0.7290 0.2976 0.7290
Ag 0.1464 0.3983 0.3983
Ag 0.5000 0.8828 0.1172
Ag 0.3983 0.3983 0.1464
Al 0.7290 0.7290 0.2976
Al 0.2976 0.7290 0.7290
Al 0.2710 0.7024 0.2710
Ag 0.1172 0.8828 0.5000

Entry 4:
! La2Al5Ag12 GGA-PBE optimized geometry; values from VASP
! **E_form**: -0.206 eV per atom
! **Space-group type**: No. 166
! **Density of states at the Fermi level**: 6.313 states/eV/cell
&SYSTEM
  ibrav = 0, nat = 19, ntyp = 3
/
ATOMIC_SPECIES
Ag 107.87 Ag.upf
Al 26.98 Al.upf
La 138.91 La.upf
CELL_PARAMETERS angstrom
7.2047 0.1541 0.7734
0.7111 7.1711 0.7734
0.1665 0.1541 7.2441
ATOMIC_POSITIONS crystal
Ag 0.0000 0.7027 0.2973
Al 0.0948 0.0948 0.0948
Al 0.0000 0.5000 0.0000
Al 0.5000 0.0000 0.0000
Ag 0.6576 0.6576 0.1383
Ag 0.8617 0.3424 0.3424
Ag 0.2973 0.7027 0.0000
Ag 0.0000 0.2973 0.7027
Ag 0.7027 0.0000 0.2973
La 0.6613 0.6613 0.6613
Ag 0.2973 0.0000 0.7027
Al 0.0000 0.0000 0.5000
La 0.3387 0.3387 0.3387
Ag 0.3424 0.3424 0.8617
Ag 0.3424 0.8617 0.3424
Ag 0.6576 0.1383 0.6576
Ag 0.1383 0.6576 0.6576
Al 0.9052 0.9052 0.9052
Ag 0.7027 0.2973 0.0000

Entry 5:
! LaAlAg GGA-PBE optimized geometry; values from VASP
! **E_form**: -0.370 eV per atom
! **Space-group type**: No. 187
! **Density of states at the Fermi level**: 3.232 states/eV/cell
&SYSTEM
  ibrav = 0, nat = 3, ntyp = 3
/
ATOMIC_SPECIES
La 138.91 La.upf
Al 26.98 Al.upf
Ag 107.87 Ag.upf
CELL_PARAMETERS angstrom
4.7783 0.0000 0.0000
-2.3892 4.1381 0.0000
0.0000 0.0000 3.7373
ATOMIC_POSITIONS crystal
La 0.3333 0.6667 0.6667
Al 0.6667 0.3333 0.1666
Ag 0.0000 0.0000 0.1667

Entry 6:
! LaAlAg2 GGA-PBE optimized geometry; values from VASP
! **E_form**: -0.316 eV per atom
! **Space-group type**: No. 62
! **Density of states at the Fermi level**: 12.079 states/eV/cell
&SYSTEM
  ibrav = 0, nat = 16, ntyp = 3
/
ATOMIC_SPECIES
Ag 107.87 Ag.upf
La 138.91 La.upf
Al 26.98 Al.upf
CELL_PARAMETERS angstrom
-0.6668 -2.1720 -5.3737
6.5830 2.1961 -1.7044
3.2293 -7.6054 2.6733
ATOMIC_POSITIONS crystal
Ag 0.1156 0.9486 0.8233
La 0.6504 0.7500 0.9449
Al 0.8481 0.2500 0.8882
Ag 0.8844 0.4486 0.1767
Al 0.1519 0.7500 0.1118
Ag 0.1156 0.5514 0.8233
Ag 0.8844 0.0514 0.1767
Al 0.3481 0.7500 0.6118
La 0.3496 0.2500 0.0551
Ag 0.6156 0.0514 0.6767
Ag 0.3844 0.9486 0.3233
Ag 0.3844 0.5514 0.3233
La 0.8496 0.7500 0.4449
Al 0.6519 0.2500 0.3882
La 0.1504 0.2500 0.5551
Ag 0.6156 0.4486 0.6767

Entry 7:
! Li2LaAlAg4 GGA-PBE optimized geometry; values from VASP
! **E_form**: -0.193 eV per atom
! **Space-group type**: No. 166
! **Density of states at the Fermi level**: 3.900 states/eV/cell
&SYSTEM
  ibrav = 0, nat = 8, ntyp = 4
/
ATOMIC_SPECIES
Al 26.98 Al.upf
Li 6.94 Li.upf
Ag 107.87 Ag.upf
La 138.91 La.upf
CELL_PARAMETERS angstrom
-2.0913 0.4159 3.9876
-4.0573 -1.8933 0.6335
1.9396 -8.0765 4.4235
ATOMIC_POSITIONS crystal
Al 0.5000 0.5000 0.5000
Li 0.2333 0.2333 0.3001
Ag 0.1315 0.1315 0.6055
Ag 0.8685 0.8685 0.3945
La 0.0000 0.0000 0.0000
Ag 0.4034 0.4034 0.7898
Li 0.7667 0.7667 0.6998
Ag 0.5966 0.5966 0.2102

Entry 8:
! LiLaAlAg6 GGA-PBE optimized geometry; values from VASP
! **E_form**: -0.003 eV per atom
! **Space-group type**: No. 74
! **Density of states at the Fermi level**: 8.454 states/eV/cell
&SYSTEM
  ibrav = 0, nat = 18, ntyp = 4
/
ATOMIC_SPECIES
Ag 107.87 Ag.upf
Al 26.98 Al.upf
La 138.91 La.upf
Li 6.94 Li.upf
CELL_PARAMETERS angstrom
7.2897 0.0000 0.0000
0.0000 9.2746 0.0000
-3.6449 -4.6373 5.5839
ATOMIC_POSITIONS crystal
Ag 0.3206 0.1239 0.2538
Ag 0.6794 0.8761 0.7462
Ag 0.9914 0.2414 0.9828
Ag 0.9332 0.1239 0.2538
Ag 0.9332 0.6299 0.2538
Ag 0.0668 0.3701 0.7462
Ag 0.0668 0.8761 0.7462
Ag 0.0086 0.7586 0.0172
Al 0.5000 0.0000 0.0000
Ag 0.4097 0.1597 0.8193
La 0.7077 0.4577 0.4154
Li 0.0000 0.0000 0.5000
Al 0.5000 0.5000 0.0000
Ag 0.5903 0.8403 0.1807
Ag 0.3206 0.6299 0.2538
Ag 0.6794 0.3701 0.7462
Li 0.5000 0.0000 0.5000
La 0.2923 0.5423 0.5846

Entry 9:
! LiLaAlAg3 GGA-PBE optimized geometry; values from VASP
! **E_form**: -0.153 eV per atom
! **Space-group type**: No. 63
! **Density of states at the Fermi level**: 6.201 states/eV/cell
&SYSTEM
  ibrav = 0, nat = 12, ntyp = 4
/
ATOMIC_SPECIES
Ag 107.87 Ag.upf
Al 26.98 Al.upf
La 138.91 La.upf
Li 6.94 Li.upf
CELL_PARAMETERS angstrom
6.3196 0.0000 0.0000
0.0000 6.2440 0.0000
0.0000 -3.1220 6.3345
ATOMIC_POSITIONS crystal
Ag 0.5000 0.7254 0.0000
Al 0.2500 0.3632 0.7264
Ag 0.7500 0.8486 0.6973
La 0.7500 0.2982 0.5964
Li 0.7500 0.0703 0.1406
Ag 0.0000 0.7254 0.0000
Ag 0.0000 0.2746 0.0000
Al 0.7500 0.6368 0.2736
Li 0.2500 0.9297 0.8594
Ag 0.2500 0.1514 0.3027
La 0.2500 0.7018 0.4036
Ag 0.5000 0.2746 0.0000

Entry 10:
! LiLa2Al4Ag3 GGA-PBE optimized geometry; values from VASP
! **E_form**: -0.316 eV per atom
! **Space-group type**: No. 115
! **Density of states at the Fermi level**: 7.278 states/eV/cell
&SYSTEM
  ibrav = 0, nat = 10, ntyp = 4
/
ATOMIC_SPECIES
Li 6.94 Li.upf
Ag 107.87 Ag.upf
Al 26.98 Al.upf
La 138.91 La.upf
CELL_PARAMETERS angstrom
-1.0527 3.8907 -1.9102
-4.3294 -1.0381 0.2715
-0.5060 4.6712 9.7933
ATOMIC_POSITIONS crystal
Li 0.5000 0.5000 0.5000
Ag 0.5000 0.0000 0.8698
Al 0.0000 0.0000 0.0000
La 0.0000 0.5000 0.7506
Ag 0.0000 0.0000 0.5000
Ag 0.0000 0.5000 0.1302
Al 0.5000 0.0000 0.6331
Al 0.5000 0.5000 0.0000
Al 0.0000 0.5000 0.3669
La 0.5000 0.0000 0.2494

Entry 11:
! Li2LaAlAg GGA-PBE optimized geometry; values from VASP
! **E_form**: 1.180 eV per atom
! **Space-group type**: No. 123
! **Density of states at the Fermi level**: 5.293 states/eV/cell
&SYSTEM
  ibrav = 0, nat = 5, ntyp = 4
/
ATOMIC_SPECIES
Li 6.94 Li.upf
Al 26.98 Al.upf
Ag 107.87 Ag.upf
La 138.91 La.upf
CELL_PARAMETERS angstrom
-0.0525 1.9193 5.3074
4.4432 -3.1229 1.1733
3.3883 4.2554 -1.5053
ATOMIC_POSITIONS crystal
Li 0.5000 0.0000 0.0000
Al 0.5000 0.5000 0.5000
Ag 0.0000 0.5000 0.0000
Li 0.0000 0.0000 0.5000
La 0.0000 0.0000 0.0000

Entry 12:
! LiLa2AlAg GGA-PBE optimized geometry; values from VASP
! **E_form**: 0.179 eV per atom
! **Space-group type**: No. 123
! **Density of states at the Fermi level**: 7.186 states/eV/cell
&SYSTEM
  ibrav = 0, nat = 5, ntyp = 4
/
ATOMIC_SPECIES
La 138.91 La.upf
Li 6.94 Li.upf
Al 26.98 Al.upf
Ag 107.87 Ag.upf
CELL_PARAMETERS angstrom
-2.8403 -4.1009 3.1290
-0.1831 -2.8387 -3.8867
5.1535 -2.4110 1.5181
ATOMIC_POSITIONS crystal
La 0.5000 0.0000 0.0000
Li 0.5000 0.5000 0.5000
Al 0.0000 0.5000 0.0000
La 0.0000 0.0000 0.5000
Ag 0.0000 0.0000 0.0000